Density functional theory data (GGA+U) for crystalline CeVO4F at its relaxed geometry.

Cell lengths 5.9781, 5.9781, 6.8697 Å; angles 75.85, 75.85, 74.51 degrees
Last column: nearest neighbours and their distance in Å.
Fractional coordinates of all 14 atoms:
O 0.5376 0.5376 0.2358  1 V 1.72
O 0.4624 0.4624 0.7642  1 V 1.72
Ce 0.7847 0.7847 0.1185  4 O 2.24-2.29, 2 F 2.28-2.36
O 0.1117 0.4833 0.1531  1 V 1.76
O 0.5167 0.8883 0.8469  1 V 1.76
Ce 0.2153 0.2153 0.8815  4 O 2.24-2.29, 2 F 2.28-2.36
F 0.0180 0.0180 0.1718  2 Ce 2.28-2.36, 1 F 2.49
O 0.7426 0.7426 0.4610  1 V 1.71
O 0.2574 0.2574 0.5390  1 V 1.71
O 0.8883 0.5167 0.8469  1 V 1.76
O 0.4833 0.1117 0.1531  1 V 1.76
V 0.6507 0.6507 0.7181  4 O 1.71-1.76
V 0.3493 0.3493 0.2819  4 O 1.71-1.76
F 0.9820 0.9820 0.8282  2 Ce 2.28-2.36, 1 F 2.49

Results
ρ: 4.0 g/cm³
electronic total energy: -7.72 eV/atom
symmetry: No. 12